*one*
Material: LaSmY4
Method: DFT, PBE-GGA
State: optimized geometry

Summary:
SG = P-1 (2)

POSCAR file:
```
LaSmY4
1.0
3.612 0.000 0.000
1.790 5.983 0.000
1.793 1.602 9.240
La Sm Y
1 1 4
Direct
0.000 0.000 0.000
0.000 0.500 0.500
0.332 0.001 0.336
0.333 0.503 0.832
0.667 0.497 0.168
0.668 0.999 0.664
```

=====

*two*
Material: LaSmY4
Method: DFT, PBE-GGA
State: optimized geometry

Summary:
SG = C2/c (15)

POSCAR file:
```
LaSmY4
1.0
4.513 -7.409 0.000
4.513 7.409 0.000
-2.127 0.000 6.163
La Sm Y
2 2 8
Direct
0.084 0.916 0.750
0.916 0.084 0.250
0.499 0.501 0.250
0.501 0.499 0.750
0.075 0.338 0.879
0.213 0.602 0.466
0.338 0.075 0.379
0.398 0.787 0.034
0.602 0.213 0.966
0.662 0.925 0.621
0.787 0.398 0.534
0.925 0.662 0.121
```

=====

The most stable arrangement is *one*, and the next structure is 11.4 kJ/mol of atoms less stable.

=====

*one*
Material: La2Sm5Y4
Method: DFT, PBE-GGA
State: optimized geometry

Summary:
SG = Immm (71)

POSCAR file:
```
La2Sm5Y4
1.0
-1.773 4.608 11.860
1.773 -4.608 11.860
1.773 4.608 -11.860
La Sm Y
2 5 4
Direct
0.235 0.235 0.000
0.765 0.765 0.000
0.167 0.359 0.807
0.448 0.641 0.807
0.500 0.000 0.500
0.552 0.359 0.193
0.833 0.641 0.193
0.099 0.099 0.000
0.186 0.500 0.686
0.814 0.500 0.314
0.901 0.901 0.000
```

=====

*two*
Material: La2Sm5Y4
Method: DFT, PBE-GGA
State: optimized geometry

Summary:
SG = C2/m (12)

POSCAR file:
```
La2Sm5Y4
1.0
8.945 -1.784 0.000
8.945 1.784 0.000
-0.832 0.000 11.767
La Sm Y
2 5 4
Direct
0.218 0.218 0.357
0.782 0.782 0.643
0.000 0.000 0.000
0.324 0.324 0.932
0.406 0.406 0.462
0.594 0.594 0.538
0.676 0.676 0.068
0.140 0.140 0.799
0.468 0.468 0.743
0.532 0.532 0.257
0.860 0.860 0.201
```

=====

The most stable arrangement is *two*, and the next structure is 11.9 kJ/mol of atoms less stable.

=====

*one*
Material: LaSmY
Method: DFT, PBE-GGA
State: optimized geometry

Summary:
SG = P4/nmm (129)

POSCAR file:
```
LaSmY
1.0
4.253 0.000 0.000
0.000 4.253 0.000
0.000 0.000 11.470
La Sm Y
2 2 2
Direct
0.250 0.250 0.247
0.750 0.750 0.753
0.250 0.250 0.926
0.750 0.750 0.074
0.250 0.250 0.577
0.750 0.750 0.423
```

=====

*two*
Material: LaSmY
Method: DFT, PBE-GGA
State: optimized geometry

Summary:
SG = P3m1 (156)

POSCAR file:
```
LaSmY
1.0
3.650 0.000 0.000
-1.825 3.161 0.000
0.000 0.000 8.928
La Sm Y
1 1 1
Direct
0.000 0.000 0.000
0.667 0.333 0.340
0.333 0.667 0.665
```

=====

The most stable arrangement is *two*, and the next structure is 8.3 kJ/mol of atoms less stable.

=====

*one*
Material: LaSmY
Method: DFT, PBE-GGA
State: optimized geometry

Summary:
SG = I4mm (107)

POSCAR file:
```
LaSmY
1.0
-2.128 2.128 5.738
2.128 -2.128 5.738
2.128 2.128 -5.738
La Sm Y
1 1 1
Direct
0.000 0.000 0.000
0.321 0.321 0.000
0.669 0.669 0.000
```

=====

*two*
Material: LaSmY
Method: DFT, PBE-GGA
State: optimized geometry

Summary:
SG = Cmcm (63)

POSCAR file:
```
LaSmY
1.0
2.579 -7.742 0.000
2.579 7.742 0.000
0.000 0.000 5.179
La Sm Y
2 2 2
Direct
0.083 0.917 0.750
0.917 0.083 0.250
0.415 0.585 0.750
0.585 0.415 0.250
0.249 0.751 0.250
0.751 0.249 0.750
```

=====

The most stable arrangement is *two*, and the next structure is 7.3 kJ/mol of atoms less stable.